ReTcRu after structural relaxation. Source: Alexandria, functional PBE.

Its energy above the lowest structure with this stoichiometry is 0.017 eV/atom. For the uncorrected energy, the calculation gives -31.9 eV/cell. For the energy of formation, the calculation gives 66 meV/atom. The calculation puts the spin magnetization at 0.000 μB/cell.

It has space group P3m1 (No. 156), with a = 2.7371 Å, b = 2.7371 Å, c = 6.7192 Å, α = 90.00°, β = 90.00° and γ = 120.00°. The distinct sites, in fractional coordinates, are Re at (0.0000, 0.0000, 0.0000), Tc at (0.3333, 0.6667, 0.6635) and Ru at (0.6667, 0.3333, 0.3317).